{
  "formula": "HfZn2TcAu",
  "functional": "GGA-PBE",
  "state": "optimized geometry",
  "final_energy_ev_per_cell": -19.654,
  "sg": "P4/mmm",
  "dos_at_fermi_per_ev_atom": 0.65,
  "lattice": [[-0.584, -4.358, -2.551], [4.382, -1.271, 1.168], [-1.769, -2.229, 4.212]],
  "species": ["Hf", "Zn", "Zn", "Au", "Tc"],
  "fractional_positions": [[0.000, 0.000, 0.000], [0.000, 0.000, 0.500], [0.500, 0.000, 0.000], [0.500, 0.500, 0.500], [0.000, 0.500, 0.000]]
}